## TlTe2PRu (PBE-GGA)

Data for an optimized crystal structure of TlTe2PRu.

Energy relative to the elements, uncorrected: 0.685 eV per atom
D(E_F): 0.97 states/eV/atom
Spin magnetization: 0.00 μB/cell

abc: 5.129 5.129 5.248
angles: 90.00 90.00 90.00
Fractional coordinates of all 5 atoms:
Tl  0.000  0.000  0.000
Te  0.000  0.500  0.500
Te  0.500  0.000  0.500
P  0.500  0.500  0.000
Ru  0.000  0.000  0.500

## ZnTe2PRu (PBE-GGA)

Data for an optimized crystal structure of ZnTe2PRu.

Energy relative to the elements, uncorrected: 1.310 eV per atom
D(E_F): 0.81 states/eV/atom
Spin magnetization: 1.47 μB/cell

abc: 5.167 5.167 4.685
angles: 90.00 90.00 90.00
Fractional coordinates of all 5 atoms:
Zn  0.000  0.000  0.000
Te  0.000  0.500  0.000
Te  0.500  0.000  0.000
P  0.500  0.500  0.500
Ru  0.000  0.000  0.500

## ZrTePRu2 (PBE-GGA)

Data for an optimized crystal structure of ZrTePRu2.

Energy relative to the elements, uncorrected: 1.541 eV per atom
D(E_F): 1.39 states/eV/atom
Spin magnetization: 2.01 μB/cell

abc: 4.819 4.819 5.480
angles: 90.00 90.00 90.00
Fractional coordinates of all 5 atoms:
Zr  0.000  0.000  0.000
Te  0.000  0.000  0.500
P  0.500  0.500  0.500
Ru  0.000  0.500  0.000
Ru  0.500  0.000  0.000

## ThP3Ru3 (PBE-GGA)

Data for an optimized crystal structure of ThP3Ru3.

D(E_F): 0.66 states/eV/atom
ΔE to the lowest computed polymorph: 0.000 eV/atom
Spin magnetization: 0.00 μB/cell

abc: 7.784 7.784 7.784
angles: 51.14 51.14 51.14
Fractional coordinates of all 14 atoms:
Th  0.167  0.167  0.167
Th  0.833  0.833  0.833
P  0.092  0.403  0.724
P  0.276  0.908  0.597
P  0.403  0.724  0.092
P  0.597  0.276  0.908
P  0.724  0.092  0.403
P  0.908  0.597  0.276
Ru  0.033  0.720  0.382
Ru  0.280  0.618  0.967
Ru  0.382  0.033  0.720
Ru  0.618  0.967  0.280
Ru  0.720  0.382  0.033
Ru  0.967  0.280  0.618

## ThP6Ru12 (PBE-GGA)

Data for an optimized crystal structure of ThP6Ru12.

D(E_F): 0.97 states/eV/atom
Spin magnetization: 0.00 μB/cell

abc: 6.854 6.854 6.854
angles: 104.86 104.86 104.86
Fractional coordinates of all 19 atoms:
Th  0.000  0.000  0.000
P  0.237  0.237  0.675
P  0.237  0.675  0.237
P  0.325  0.763  0.763
P  0.675  0.237  0.237
P  0.763  0.325  0.763
P  0.763  0.763  0.325
Ru  0.135  0.500  0.865
Ru  0.135  0.865  0.500
Ru  0.189  0.445  0.445
Ru  0.445  0.189  0.445
Ru  0.445  0.445  0.189
Ru  0.500  0.135  0.865
Ru  0.500  0.865  0.135
Ru  0.555  0.555  0.811
Ru  0.555  0.811  0.555
Ru  0.811  0.555  0.555
Ru  0.865  0.135  0.500
Ru  0.865  0.500  0.135

## ThP2Ru3 (PBE-GGA)

Data for an optimized crystal structure of ThP2Ru3.

D(E_F): 0.70 states/eV/atom
Spin magnetization: 0.00 μB/cell

abc: 8.235 8.235 9.696
angles: 108.42 108.42 27.85
Fractional coordinates of all 18 atoms:
Th  0.000  0.000  0.000
Th  0.156  0.156  0.694
Th  0.844  0.844  0.306
P  0.198  0.198  0.131
P  0.362  0.362  0.554
P  0.463  0.463  0.225
P  0.537  0.537  0.775
P  0.638  0.638  0.446
P  0.802  0.802  0.869
Ru  0.045  0.045  0.331
Ru  0.221  0.221  0.392
Ru  0.320  0.320  0.041
Ru  0.375  0.375  0.800
Ru  0.500  0.500  0.500
Ru  0.625  0.625  0.200
Ru  0.680  0.680  0.959
Ru  0.779  0.779  0.608
Ru  0.955  0.955  0.669

## ThP3Ru3 (PBE-GGA)

Data for an optimized crystal structure of ThP3Ru3.

D(E_F): 1.28 states/eV/atom
ΔE to the lowest computed polymorph: 0.298 eV/atom
Spin magnetization: 0.00 μB/cell

abc: 6.390 6.390 6.390
angles: 90.00 90.00 90.00
Fractional coordinates of all 14 atoms:
Th  0.000  0.000  0.000
Th  0.500  0.500  0.500
P  0.000  0.250  0.500
P  0.000  0.750  0.500
P  0.250  0.500  0.000
P  0.500  0.000  0.250
P  0.500  0.000  0.750
P  0.750  0.500  0.000
Ru  0.000  0.500  0.250
Ru  0.000  0.500  0.750
Ru  0.250  0.000  0.500
Ru  0.500  0.250  0.000
Ru  0.500  0.750  0.000
Ru  0.750  0.000  0.500

## ThP2Ru5 (PBE-GGA)

Data for an optimized crystal structure of ThP2Ru5.

D(E_F): 0.92 states/eV/atom
Spin magnetization: 0.00 μB/cell

abc: 6.129 6.129 6.129
angles: 142.38 112.87 79.59
Fractional coordinates of all 8 atoms:
Th  0.000  0.000  0.000
P  0.257  0.757  0.500
P  0.743  0.243  0.500
Ru  0.157  0.355  0.802
Ru  0.447  0.645  0.802
Ru  0.500  0.000  0.500
Ru  0.553  0.355  0.198
Ru  0.843  0.645  0.198

## ThP2Ru (PBE-GGA)

Data for an optimized crystal structure of ThP2Ru.

D(E_F): 1.50 states/eV/atom
Spin magnetization: 3.07 μB/cell

abc: 7.677 7.677 7.677
angles: 32.82 32.82 32.82
Fractional coordinates of all 4 atoms:
Th  0.000  0.000  0.000
P  0.396  0.396  0.396
P  0.604  0.604  0.604
Ru  0.500  0.500  0.500

## ThP2Ru (PBE-GGA)

Data for an optimized crystal structure of ThP2Ru.

D(E_F): 0.47 states/eV/atom
Spin magnetization: 0.00 μB/cell

abc: 5.586 5.586 5.586
angles: 137.81 137.81 61.20
Fractional coordinates of all 4 atoms:
Th  0.000  0.000  0.000
P  0.372  0.372  0.000
P  0.628  0.628  0.000
Ru  0.250  0.750  0.500

## Th2P7Ru12 (PBE-GGA)

Data for an optimized crystal structure of Th2P7Ru12.

D(E_F): 0.26 states/eV/atom
Spin magnetization: 0.00 μB/cell

abc: 9.507 9.507 3.963
angles: 90.00 90.00 120.00
Fractional coordinates of all 21 atoms:
Th  0.000  0.000  0.000
Th  0.333  0.667  0.500
P  0.083  0.642  0.000
P  0.271  0.047  0.500
P  0.358  0.442  0.000
P  0.558  0.917  0.000
P  0.667  0.333  0.000
P  0.777  0.729  0.500
P  0.953  0.223  0.500
Ru  0.055  0.775  0.500
Ru  0.095  0.402  0.000
Ru  0.225  0.280  0.500
Ru  0.307  0.905  0.000
Ru  0.396  0.222  0.000
Ru  0.544  0.121  0.500
Ru  0.577  0.456  0.500
Ru  0.598  0.693  0.000
Ru  0.720  0.945  0.500
Ru  0.778  0.174  0.000
Ru  0.826  0.604  0.000
Ru  0.879  0.423  0.500

## ThVP2Ru (PBE-GGA)

Data for an optimized crystal structure of ThVP2Ru.

D(E_F): 0.80 states/eV/atom
Spin magnetization: 1.80 μB/cell

abc: 5.735 5.735 5.735
angles: 137.77 137.77 61.25
Fractional coordinates of all 5 atoms:
Th  0.000  0.000  0.000
V  0.750  0.250  0.500
P  0.370  0.370  0.000
P  0.630  0.630  0.000
Ru  0.250  0.750  0.500

Short version: calculated total energy = -19.9; -15.7; -27.9; -112.9; -160.6; -153.5; -108.8; -69.0; -26.5; -31.2; -180.6; -41.3 eV per cell, in the order given.